Record 1
Compound: CaSc2Fe
Source: Alexandria via LeMat-Bulk
Functional: GGA-PBE
Structure: relaxed

```
CaSc2Fe
1.0
-1.3492 -5.6454 -1.7925
2.4220 3.8153 -4.0597
2.8306 -1.2539 -0.5240
Ca Sc Fe
1 2 1
Direct
0.5000 0.0000 0.5000 Ca
0.5000 0.5000 0.0000 Sc
0.0000 0.0000 0.0000 Sc
0.0000 0.5000 0.5000 Fe
```

Properties
Formation energy ... 0.48 eV per atom
Final energy ... -0.38950 Ry/atom
ΔE to the lowest computed polymorph ... 484 meV per atom
Crystal system ... monoclinic

Record 2
Compound: AlAg3
Source: Alexandria via LeMat-Bulk
Functional: GGA-PBE
Structure: relaxed

```
AlAg3
1.0
-0.7103 -2.8530 -0.2893
1.0229 1.0134 2.5796
-8.5640 1.8618 2.6646
Ag Al
3 1
Direct
0.6667 0.3333 0.2500 Ag
0.0000 0.0000 0.9863 Ag
0.0000 0.0000 0.5137 Ag
0.6667 0.3333 0.7500 Al
```

Properties
Formation energy ... -0.03 eV per atom
Final energy ... -0.22815 Ry/atom
Crystal system ... hexagonal

Record 3
Compound: Tl2TcAu
Source: Alexandria via LeMat-Bulk
Functional: GGA-PBE
Structure: relaxed

```
Tl2TcAu
1.0
-1.9461 5.3689 0.2210
-5.2104 0.9881 2.1298
4.7162 -2.8748 1.4676
Au Tl Tc
1 2 1
Direct
0.5000 0.5000 0.0000 Au
0.0000 0.0000 0.0000 Tl
0.2500 0.7500 0.5000 Tl
0.7500 0.2500 0.5000 Tc
```

Properties
Formation energy ... 0.58 eV per atom
Final energy ... -0.29524 Ry/atom
ΔE to the lowest computed polymorph ... 106 meV per atom
Crystal system ... tetragonal

Record 4
Compound: LiMgSc2C
Source: Alexandria via LeMat-Bulk
Functional: GGA-PBE
Structure: relaxed

```
LiMgSc2C
1.0
-3.2814 -2.7286 1.5954
3.0484 -3.3397 0.5582
0.8250 1.4517 4.1798
C Sc Mg Li
1 2 1 1
Direct
0.0000 0.0000 0.0000 C
0.5000 0.0000 0.0000 Sc
0.0000 0.5000 0.0000 Sc
0.0000 0.0000 0.5000 Mg
0.5000 0.5000 0.5000 Li
```

Properties
Formation energy ... -0.08 eV per atom
Final energy ... -0.37949 Ry/atom
ΔE to the lowest computed polymorph ... 0 meV per atom
Crystal system ... tetragonal